No. 1
Crystalline Mo2RuSe4 at its relaxed geometry, computed with GGA-PBE.

abc: 6.721 6.731 6.829
angles: 91.86 94.13 93.81
Element x y z (fractional)
Mo (0.584, 0.766, 0.447)
Mo (0.233, 0.542, 0.410)
Mo (0.767, 0.458, 0.590)
Mo (0.416, 0.234, 0.553)
Ru (0.450, 0.588, 0.765)
Ru (0.550, 0.412, 0.235)
Se (0.375, 0.719, 0.118)
Se (0.733, 0.132, 0.379)
Se (0.625, 0.281, 0.882)
Se (0.130, 0.371, 0.732)
Se (0.870, 0.629, 0.268)
Se (0.777, 0.787, 0.783)
Se (0.267, 0.868, 0.621)
Se (0.223, 0.213, 0.217)

Calculated values
ΔE_f (raw): -0.585 eV/atom
E_tot: -6.996 eV per atom



No. 2
Crystalline Mo2RuSe at its relaxed geometry, computed with GGA-PBE.

abc: 5.290 5.290 5.290
angles: 147.25 129.96 61.10
Element x y z (fractional)
Se (0.253, 0.753, 0.500)
Ru (0.477, 0.477, 0.000)
Mo (0.029, 0.029, 0.000)
Mo (0.740, 0.240, 0.500)

Calculated values
ΔE_f (raw): 0.140 eV/atom
E_tot: -8.466 eV per atom



No. 3
Crystalline MoRu2Se at its relaxed geometry, computed with GGA-PBE.

abc: 2.924 4.562 4.473
angles: 90.00 90.00 90.00
Element x y z (fractional)
Ru (0.500, 0.500, 0.000)
Ru (0.000, 0.000, 0.000)
Mo (0.000, 0.500, 0.500)
Se (0.500, 0.000, 0.500)

Calculated values
ΔE_f (raw): 0.280 eV/atom
E_tot: -7.937 eV per atom